A plane-wave DFT calculation with GGA-PBE was carried out for a relaxed Nd2BeCrPt6 crystal.

Unit cell a=7.370 b=7.370 c=7.370 alpha=46.05 beta=46.05 gamma=46.05
Sites, in units of the cell vectors:
Nd  0.213  0.213  0.213
Nd  0.787  0.787  0.787
Be  0.000  0.000  0.000
Cr  0.500  0.500  0.500
Pt  0.240  0.240  0.719
Pt  0.240  0.719  0.240
Pt  0.281  0.760  0.760
Pt  0.719  0.240  0.240
Pt  0.760  0.281  0.760
Pt  0.760  0.760  0.281

---

A plane-wave DFT calculation with GGA-PBE was carried out for a relaxed BeCr2Ni crystal.

Unit cell a=4.281 b=4.281 c=4.281 alpha=130.86 beta=130.86 gamma=72.03
Sites, in units of the cell vectors:
Be  0.000  0.000  0.000
Cr  0.250  0.750  0.500
Cr  0.500  0.500  0.000
Ni  0.750  0.250  0.500

---

A plane-wave DFT calculation with GGA-PBE was carried out for a relaxed BeCr3Ni12 crystal.

Unit cell a=3.524 b=3.524 c=14.035 alpha=90.00 beta=90.00 gamma=90.00
Sites, in units of the cell vectors:
Be  0.000  0.000  0.000
Cr  0.000  0.000  0.244
Cr  0.000  0.000  0.500
Cr  0.000  0.000  0.756
Ni  0.000  0.500  0.119
Ni  0.000  0.500  0.372
Ni  0.000  0.500  0.628
Ni  0.000  0.500  0.881
Ni  0.500  0.000  0.119
Ni  0.500  0.000  0.372
Ni  0.500  0.000  0.628
Ni  0.500  0.000  0.881
Ni  0.500  0.500  0.000
Ni  0.500  0.500  0.245
Ni  0.500  0.500  0.500
Ni  0.500  0.500  0.755

---

A plane-wave DFT calculation with GGA-PBE was carried out for a relaxed BeCr2Ni crystal.

Unit cell a=2.440 b=2.440 c=7.020 alpha=90.00 beta=90.00 gamma=90.00
Sites, in units of the cell vectors:
Be  0.000  0.000  0.000
Cr  0.500  0.500  0.234
Cr  0.500  0.500  0.766
Ni  0.000  0.000  0.500

---

Listing theoretical density for the structures above in their given order: 13.3, 6.5, 8.3, 6.8 Mg/m³.
Listing D(E_F) for the structures above in their given order: 0.47, 0.92, 1.26, 0.82 states/eV per atom.
Listing DFT formation energy for the structures above in their given order: -6.75, 0.25, -0.90, 0.12 eV per formula unit.